! Ba2HN, relaxed, DFT GGA-PBE; values from VASP
&SYSTEM
  ibrav = 0, nat = 4, ntyp = 3
/
ATOMIC_SPECIES
H 1.01 H.upf
Ba 137.33 Ba.upf
N 14.01 N.upf
CELL_PARAMETERS angstrom
0.000 3.440 3.440
3.440 0.000 3.440
3.440 3.440 0.000
ATOMIC_POSITIONS angstrom
H 0.000 0.000 0.000
Ba 1.720 1.720 1.720
Ba 5.161 5.161 5.161
N 3.440 3.440 3.440
! space-group type: Fm-3m
! final energy: -4.1333 eV/atom
! M_tot: 0.00 μB/cell